Entry from Alexandria via LeMat-Bulk: LaMnBr2 at its PBEsol-relaxed geometry (SCAN).

Output
raw formation energy = -3.464 eV/f.u.

Cell: 3.564 4.095 6.591 Å, 90.00 90.34 90.00°
Space group P2/m (No. 10)
Asymmetric unit:
La 0.000 0.000 0.000 (multiplicity 1)
Mn 0.500 0.000 0.500 (multiplicity 1)
Br 0.498 0.500 0.760 (multiplicity 2)